[1]
{
  "formula": "PrAl4AgAu2",
  "functional": "PBE-GGA",
  "state": "optimized geometry",
  "lattice": [[-3.728, -1.012, 2.092], [-3.596, -1.041, -2.300], [0.057, -9.611, 0.064]],
  "species": ["Al", "Al", "Al", "Al", "Pr", "Au", "Au", "Ag"],
  "frac_coords": [[0.401, 0.401, 0.796], [0.124, 0.124, 0.627], [0.599, 0.599, 0.204], [0.876, 0.876, 0.373], [0.000, 0.000, 0.000], [0.758, 0.758, 0.726], [0.242, 0.242, 0.274], [0.500, 0.500, 0.500]],
  "total_energy_ev_per_atom": -4.043
}

---

[2]
{
  "formula": "PrAl2AgAu2",
  "functional": "PBE-GGA",
  "state": "optimized geometry",
  "lattice": [[-0.014, -4.026, 1.950], [3.039, 0.953, -3.142], [4.401, 2.398, 4.983]],
  "species": ["Au", "Au", "Ag", "Pr", "Al", "Al"],
  "frac_coords": [[0.333, 0.667, 0.274], [0.667, 0.333, 0.726], [0.000, 0.000, 0.500], [0.000, 0.000, 0.000], [0.333, 0.667, 0.672], [0.667, 0.333, 0.328]],
  "total_energy_ev_per_atom": -4.173
}

---

[3]
{
  "formula": "PrAl2AgAu4",
  "functional": "PBE-GGA",
  "state": "optimized geometry",
  "lattice": [[-2.439, 1.799, -3.289], [-4.411, -0.717, -0.161], [-3.697, 7.900, 4.022]],
  "species": ["Al", "Al", "Ag", "Au", "Au", "Au", "Au", "Pr"],
  "frac_coords": [[0.238, 0.238, 0.285], [0.762, 0.762, 0.715], [0.500, 0.500, 0.500], [0.397, 0.397, 0.810], [0.876, 0.876, 0.373], [0.124, 0.124, 0.627], [0.603, 0.603, 0.190], [0.000, 0.000, 0.000]],
  "total_energy_ev_per_atom": -3.974
}

---

[4]
{
  "formula": "Pr2Al3AgAu4",
  "functional": "PBE-GGA",
  "state": "optimized geometry",
  "lattice": [[-4.358, -0.660, -0.417], [0.780, -3.595, -2.464], [0.071, -6.144, 8.986]],
  "species": ["Au", "Au", "Au", "Au", "Pr", "Pr", "Al", "Al", "Al", "Ag"],
  "frac_coords": [[0.000, 0.500, 0.353], [0.500, 0.000, 0.647], [0.000, 0.000, 0.000], [0.500, 0.500, 0.000], [0.500, 0.000, 0.244], [0.000, 0.500, 0.756], [0.000, 0.000, 0.500], [0.500, 0.000, 0.876], [0.000, 0.500, 0.124], [0.500, 0.500, 0.500]],
  "total_energy_ev_per_atom": -4.292
}

---

[5]
{
  "formula": "PrAl2Ag2Au",
  "functional": "PBE-GGA",
  "state": "optimized geometry",
  "lattice": [[-2.744, -3.441, -1.981], [0.236, -2.545, 4.094], [-4.898, 2.756, 1.996]],
  "species": ["Au", "Ag", "Ag", "Al", "Al", "Pr"],
  "frac_coords": [[0.000, 0.000, 0.000], [0.500, 0.500, 0.266], [0.500, 0.500, 0.734], [0.000, 0.500, 0.000], [0.500, 0.000, 0.000], [0.000, 0.000, 0.500]],
  "total_energy_ev_per_atom": -3.665
}

---

[6]
{
  "formula": "Pu2AlAgAu6",
  "functional": "PBE-GGA",
  "state": "optimized geometry",
  "lattice": [[5.549, 0.000, 0.000], [2.774, 4.806, 0.000], [2.774, 1.602, 16.336]],
  "species": ["Ag", "Ag", "Pu", "Pu", "Pu", "Pu", "Al", "Al", "Au", "Au", "Au", "Au", "Au", "Au", "Au", "Au", "Au", "Au", "Au", "Au"],
  "frac_coords": [[0.666, 0.666, 0.001], [0.334, 0.334, 0.999], [0.921, 0.921, 0.236], [0.562, 0.562, 0.313], [0.438, 0.438, 0.687], [0.079, 0.079, 0.764], [0.500, 0.500, 0.500], [0.000, 0.000, 0.000], [0.470, 0.968, 0.593], [0.953, 0.449, 0.148], [0.530, 0.032, 0.407], [0.032, 0.530, 0.407], [0.032, 0.032, 0.407], [0.968, 0.470, 0.593], [0.449, 0.449, 0.148], [0.047, 0.551, 0.852], [0.449, 0.953, 0.148], [0.551, 0.551, 0.852], [0.551, 0.047, 0.852], [0.968, 0.968, 0.593]],
  "total_energy_ev_per_atom": -5.625
}

---

[7]
{
  "formula": "PuAlAg2Au4",
  "functional": "PBE-GGA",
  "state": "optimized geometry",
  "lattice": [[4.796, 0.000, 0.000], [2.398, 4.154, 0.000], [2.398, 1.385, 7.771]],
  "species": ["Au", "Au", "Au", "Au", "Al", "Ag", "Ag", "Pu"],
  "frac_coords": [[0.866, 0.866, 0.403], [0.389, 0.389, 0.833], [0.611, 0.611, 0.167], [0.134, 0.134, 0.597], [0.500, 0.500, 0.500], [0.744, 0.744, 0.767], [0.256, 0.256, 0.233], [0.000, 0.000, 0.000]],
  "total_energy_ev_per_atom": -4.824
}

---

[8]
{
  "formula": "Pu2Al4AgAu3",
  "functional": "PBE-GGA",
  "state": "optimized geometry",
  "lattice": [[-3.573, 0.968, 2.279], [-2.476, -1.432, -3.273], [0.053, -9.853, 4.269]],
  "species": ["Au", "Au", "Au", "Al", "Al", "Al", "Al", "Pu", "Pu", "Ag"],
  "frac_coords": [[0.000, 0.000, 0.500], [0.000, 0.500, 0.132], [0.500, 0.000, 0.868], [0.500, 0.500, 0.000], [0.000, 0.500, 0.365], [0.500, 0.000, 0.635], [0.000, 0.000, 0.000], [0.000, 0.500, 0.751], [0.500, 0.000, 0.249], [0.500, 0.500, 0.500]],
  "total_energy_ev_per_atom": -6.058
}

---

[9]
{
  "formula": "Pu2Al3AgAu4",
  "functional": "PBE-GGA",
  "state": "optimized geometry",
  "lattice": [[-3.060, -0.887, -2.837], [2.707, -2.512, -2.135], [-3.283, -8.919, 6.331]],
  "species": ["Au", "Au", "Au", "Au", "Al", "Al", "Al", "Pu", "Pu", "Ag"],
  "frac_coords": [[0.500, 0.000, 0.653], [0.000, 0.500, 0.347], [0.000, 0.000, 0.000], [0.500, 0.500, 0.000], [0.500, 0.000, 0.872], [0.000, 0.000, 0.500], [0.000, 0.500, 0.128], [0.500, 0.000, 0.247], [0.000, 0.500, 0.753], [0.500, 0.500, 0.500]],
  "total_energy_ev_per_atom": -5.977
}

---

[10]
{
  "formula": "PuAlAgAu",
  "functional": "PBE-GGA",
  "state": "optimized geometry",
  "lattice": [[-4.053, -0.032, 2.755], [-2.750, -4.048, 0.266], [-0.124, -2.610, 4.147]],
  "species": ["Al", "Pu", "Au", "Ag"],
  "frac_coords": [[0.250, 0.250, 0.250], [0.750, 0.750, 0.750], [0.500, 0.500, 0.500], [0.000, 0.000, 0.000]],
  "total_energy_ev_per_atom": -6.229
}